! Li4SBr2 PBE-GGA relaxed; values from VASP
&SYSTEM
  ibrav = 0, nat = 28, ntyp = 3
/
ATOMIC_SPECIES
Br 79.90 Br.upf
Li 6.94 Li.upf
S 32.06 S.upf
ATOMIC_POSITIONS crystal
Br 0.247 0.247 0.375
Li 0.461 0.775 0.746
Br 0.500 0.257 0.000
Li 0.033 0.778 0.722
Br 0.753 0.247 0.625
Li 0.967 0.222 0.222
Li 0.225 0.461 0.996
Br 0.257 0.500 0.750
Li 0.222 0.033 0.972
S 0.749 0.000 0.250
Li 0.775 0.539 0.496
Br 0.743 0.500 0.250
Li 0.461 0.225 0.754
Li 0.033 0.222 0.778
Li 0.225 0.539 0.504
Br 0.500 0.743 0.500
Br 0.247 0.753 0.125
S 0.251 0.000 0.750
Br 0.753 0.753 0.875
S 0.000 0.749 0.500
S 0.000 0.251 0.000
Li 0.778 0.033 0.028
Li 0.539 0.775 0.254
Li 0.967 0.778 0.278
Li 0.222 0.967 0.528
Li 0.539 0.225 0.246
Li 0.778 0.967 0.472
Li 0.775 0.461 0.004
CELL_PARAMETERS angstrom
7.635 0.000 0.000
0.000 7.635 0.000
0.000 0.000 10.689
! - M_tot: 0.00 μB/atom
! - Space group: P4_122
! - Formation energy without anion corrections: -135.15 kJ per mole of atoms
! - Excess energy over the best structure of this formula in the dataset: 0 meV per atom

---

! LiS8Br2 PBE-GGA relaxed; values from VASP
&SYSTEM
  ibrav = 0, nat = 11, ntyp = 3
/
ATOMIC_SPECIES
S 32.06 S.upf
Li 6.94 Li.upf
Br 79.90 Br.upf
ATOMIC_POSITIONS crystal
S 0.154 0.187 0.667
S 0.846 0.333 0.813
S 0.289 0.550 0.550
S 0.711 0.450 0.450
S 0.846 0.813 0.333
Li 0.000 0.000 0.000
S 0.969 0.313 0.313
S 0.031 0.687 0.687
S 0.154 0.667 0.187
Br 0.380 0.122 0.122
Br 0.620 0.878 0.878
CELL_PARAMETERS angstrom
7.820 -2.086 -0.331
-2.047 7.057 2.974
-3.114 2.439 6.870
! - M_tot: 0.00 μB/atom
! - Space group: C2/m
! - Formation energy without anion corrections: -2.32 kJ per mole of atoms

---

! LiSBr2 PBE-GGA relaxed; values from VASP
&SYSTEM
  ibrav = 0, nat = 4, ntyp = 3
/
ATOMIC_SPECIES
S 32.06 S.upf
Br 79.90 Br.upf
Li 6.94 Li.upf
ATOMIC_POSITIONS crystal
S 0.500 0.500 0.500
Br 0.250 0.250 0.250
Br 0.750 0.750 0.750
Li 0.000 0.000 0.000
CELL_PARAMETERS angstrom
-2.222 -4.669 -0.330
-3.626 -1.391 3.429
-4.946 -0.416 -1.485
! - M_tot: 0.74 μB/atom
! - Space group: Fm-3m
! - Formation energy without anion corrections: 3.58 kJ per mole of atoms
! - Excess energy over the best structure of this formula in the dataset: 446 meV per atom

---

! LiSBr PBE-GGA relaxed; values from VASP
&SYSTEM
  ibrav = 0, nat = 6, ntyp = 3
/
ATOMIC_SPECIES
Li 6.94 Li.upf
S 32.06 S.upf
Br 79.90 Br.upf
ATOMIC_POSITIONS crystal
Li 0.530 0.530 0.246
S 0.251 0.251 0.692
Br 0.188 0.188 0.293
S 0.501 0.501 0.616
Li 0.223 0.223 0.062
Br 0.566 0.566 0.015
CELL_PARAMETERS angstrom
4.180 -0.031 0.060
2.061 3.637 0.060
0.752 0.435 11.430
! - M_tot: 0.00 μB/atom
! - Space group: C2/m
! - Formation energy without anion corrections: -85.50 kJ per mole of atoms
! - Excess energy over the best structure of this formula in the dataset: 0 meV per atom

---

! LiS2Br8 PBE-GGA relaxed; values from VASP
&SYSTEM
  ibrav = 0, nat = 11, ntyp = 3
/
ATOMIC_SPECIES
Br 79.90 Br.upf
S 32.06 S.upf
Li 6.94 Li.upf
ATOMIC_POSITIONS crystal
Br 0.839 0.707 0.109
Br 0.219 0.350 0.350
Br 0.161 0.891 0.293
Br 0.161 0.293 0.891
Br 0.659 0.209 0.209
S 0.346 0.190 0.190
S 0.654 0.810 0.810
Li 0.000 0.000 0.000
Br 0.781 0.650 0.650
Br 0.341 0.791 0.791
Br 0.839 0.109 0.707
CELL_PARAMETERS angstrom
-0.835 -1.199 7.084
3.347 -7.250 -0.251
7.793 0.686 1.617
! - M_tot: 0.00 μB/atom
! - Space group: C2/m
! - Formation energy without anion corrections: -10.75 kJ per mole of atoms

---

! LiSBr PBE-GGA relaxed; values from VASP
&SYSTEM
  ibrav = 0, nat = 12, ntyp = 3
/
ATOMIC_SPECIES
Br 79.90 Br.upf
Li 6.94 Li.upf
S 32.06 S.upf
ATOMIC_POSITIONS crystal
Br 0.185 0.500 0.871
Br 0.315 0.000 0.129
Li 0.500 0.250 0.000
Li 0.500 0.750 0.000
Br 0.685 0.000 0.871
Br 0.815 0.500 0.129
S 0.000 0.848 0.500
Li 0.000 0.750 0.000
S 0.500 0.652 0.500
S 0.000 0.152 0.500
Li 0.000 0.250 0.000
S 0.500 0.348 0.500
CELL_PARAMETERS angstrom
5.883 0.000 -1.804
0.000 6.271 0.000
-0.078 0.000 10.279
! - M_tot: 0.20 μB/atom
! - Space group: Fmmm
! - Formation energy without anion corrections: -80.32 kJ per mole of atoms
! - Excess energy over the best structure of this formula in the dataset: 54 meV per atom

---

! Li12S3Br5 PBE-GGA relaxed; values from VASP
&SYSTEM
  ibrav = 0, nat = 80, ntyp = 3
/
ATOMIC_SPECIES
S 32.06 S.upf
Li 6.94 Li.upf
Br 79.90 Br.upf
ATOMIC_POSITIONS crystal
S 0.750 0.375 0.125
Li 0.348 0.417 0.081
S 0.125 0.875 0.750
Li 0.837 0.917 0.069
Li 0.919 0.837 0.768
Br 0.500 0.500 0.000
Li 0.081 0.163 0.232
Br 0.250 0.875 0.125
Br 0.500 0.000 0.500
Li 0.583 0.931 0.663
Br 0.875 0.250 0.625
Li 0.569 0.232 0.152
S 0.875 0.125 0.250
Li 0.848 0.581 0.917
Li 0.348 0.931 0.768
S 0.875 0.750 0.125
Li 0.917 0.081 0.848
Br 0.625 0.750 0.875
Li 0.931 0.583 0.163
Li 0.152 0.419 0.083
Br 0.750 0.125 0.875
Li 0.232 0.663 0.081
Li 0.083 0.919 0.152
Br 0.125 0.750 0.375
Li 0.919 0.083 0.652
Li 0.663 0.232 0.581
Li 0.581 0.848 0.417
Br 0.000 0.500 0.000
Br 0.250 0.375 0.625
Br 0.875 0.625 0.750
Li 0.732 0.581 0.163
Br 0.750 0.625 0.375
Li 0.337 0.569 0.417
Li 0.431 0.663 0.083
S 0.375 0.750 0.625
S 0.250 0.625 0.875
Li 0.652 0.583 0.919
Li 0.768 0.337 0.919
Li 0.268 0.419 0.837
Li 0.337 0.768 0.419
Li 0.417 0.348 0.581
S 0.625 0.250 0.375
S 0.750 0.875 0.625
S 0.250 0.125 0.375
Li 0.152 0.732 0.569
Li 0.917 0.837 0.569
Br 0.375 0.125 0.750
Li 0.652 0.069 0.232
Li 0.663 0.431 0.583
Li 0.419 0.268 0.337
Li 0.163 0.081 0.732
Li 0.931 0.348 0.268
S 0.625 0.375 0.750
Li 0.083 0.163 0.431
Br 0.375 0.250 0.125
Br 0.000 0.500 0.500
Li 0.232 0.569 0.652
Br 0.125 0.375 0.250
Li 0.581 0.732 0.663
S 0.375 0.625 0.250
Li 0.417 0.069 0.337
Li 0.583 0.652 0.419
Li 0.837 0.919 0.268
Li 0.732 0.152 0.069
Br 0.000 0.000 0.500
Br 0.625 0.875 0.250
Br 0.000 0.000 0.000
Li 0.069 0.652 0.732
Li 0.848 0.268 0.431
Li 0.569 0.337 0.917
S 0.125 0.250 0.875
Li 0.768 0.431 0.348
Br 0.500 0.000 0.000
Li 0.419 0.152 0.583
Li 0.431 0.768 0.848
Li 0.081 0.917 0.348
Li 0.268 0.848 0.931
Br 0.500 0.500 0.500
Li 0.069 0.417 0.837
Li 0.163 0.083 0.931
CELL_PARAMETERS angstrom
-0.661 -11.053 6.459
-5.575 -1.406 -11.457
12.287 3.285 -1.601
! - M_tot: 0.00 μB/atom
! - Space group: Ia-3d
! - Formation energy without anion corrections: -116.98 kJ per mole of atoms

---

! Li4SBr2 PBE-GGA relaxed; values from VASP
&SYSTEM
  ibrav = 0, nat = 7, ntyp = 3
/
ATOMIC_SPECIES
Li 6.94 Li.upf
S 32.06 S.upf
Br 79.90 Br.upf
ATOMIC_POSITIONS crystal
Li 0.000 0.500 0.000
S 0.000 0.000 0.000
Li 0.500 0.000 0.000
Br 0.653 0.653 0.694
Li 0.831 0.831 0.338
Li 0.169 0.169 0.662
Br 0.347 0.347 0.306
CELL_PARAMETERS angstrom
-2.346 -3.039 2.596
-0.939 -2.507 -3.784
4.215 -6.454 0.392
! - M_tot: 0.00 μB/atom
! - Space group: I4/mmm
! - Formation energy without anion corrections: -129.74 kJ per mole of atoms
! - Excess energy over the best structure of this formula in the dataset: 56 meV per atom